[1]
Computed, not measured: a geometry-optimized LaAlCu3 structure at the PBE level of DFT.

```
5
Lattice="5.257 0.000 0.000 0.000 5.257 0.000 0.000 0.000 5.257" Properties=species:S:1:pos:R:3 pbc="T T T"
Al 2.629 2.629 2.629
Cu 0.000 2.629 0.000
Cu 0.000 0.000 2.629
Cu 2.629 0.000 0.000
La 0.000 0.000 0.000
```

D(E_F) = 0.3984 states/eV/atom
Energy above the most stable polymorph in this dataset = 691.0 kJ/mol of formula units
DFT formation energy = 1.205 eV per atom
Space-group type = Pm-3m

***

[2]
Computed, not measured: a geometry-optimized Hf3ZrZn2N structure at the PBE level of DFT.

```
7
Lattice="4.351 0.000 0.000 0.000 4.287 0.000 -2.175 -2.143 6.989" Properties=species:S:1:pos:R:3 pbc="T T T"
Hf 0.000 2.143 0.000
Hf 0.000 0.000 2.324
Hf 2.175 2.143 4.665
Zr 2.175 0.000 0.000
Zn 2.175 2.143 1.900
Zn 0.000 0.000 5.089
N 0.000 0.000 0.000
```

Raw formation energy = -0.427 eV/atom
D(E_F) = 0.5382 states/eV/atom
Space-group type = Immm

***

[3]
Computed, not measured: a geometry-optimized Ce2PrC structure at the PBE level of DFT.

```
4
Lattice="-0.704 -3.388 -0.609 0.703 -2.410 2.459 -8.833 -0.758 4.295" Properties=species:S:1:pos:R:3 pbc="T T T"
Pr 0.000 0.000 0.000
C -4.417 -3.278 3.073
Ce -5.725 -1.171 3.001
Ce -3.109 -5.385 3.145
```

D(E_F) = 2.0207 states/eV/atom
Energy above the most stable polymorph in this dataset = 22.2 kJ/mol of formula units
DFT formation energy = -0.015 eV per atom
Space-group type = R-3m

***

Total magnetization, respectively: 0.00 0.00 0.93 μB per cell.
Energy, respectively: -2.987 -7.467 -6.483 eV/atom.
Volume, respectively: 145 130 103 Å³/f.u..